Record 1
A plane-wave DFT calculation with PBE was carried out for an optimized crystal structure of Cd2InRh2.

Unit cell a=7.692 b=7.692 c=3.131 alpha=90.00 beta=90.00 gamma=90.00
Space group P4/mbm (No. 127)
Unique sites:
Cd: 0.129 0.371 0.000
In: 0.000 0.000 0.000
Rh: 0.169 0.669 0.500

Results
The energy relative to the elements is 0.02 eV/atom. The polymorph energy (0 for the lowest one) is 228 meV/atom.

Record 2
A plane-wave DFT calculation with PBE was carried out for an optimized crystal structure of Sc5CdIn2Rh2.

Unit cell a=11.253 b=11.253 c=3.415 alpha=90.00 beta=90.00 gamma=90.00
Space group P4/mbm (No. 127)
Unique sites:
Sc: 0.000 0.500 0.000
Sc: 0.076 0.205 0.000
Cd: 0.000 0.000 0.500
In: 0.172 0.672 0.500
Rh: 0.131 0.369 0.500

Results
The energy relative to the elements is -0.54 eV/atom.

Record 3
A plane-wave DFT calculation with PBE was carried out for an optimized crystal structure of CdIn2Si2Rh5.

Unit cell a=9.738 b=9.738 c=3.403 alpha=90.00 beta=90.00 gamma=90.00
Space group P4/mbm (No. 127)
Unique sites:
Cd: 0.000 0.000 0.000
In: 0.174 0.326 0.000
Si: 0.127 0.627 0.000
Rh: 0.000 0.500 0.500
Rh: 0.076 0.786 0.500

Results
Its raw total energy is -116.9 eV per cell.

Record 4
A plane-wave DFT calculation with PBE was carried out for an optimized crystal structure of SmCdInRh.

Unit cell a=7.008 b=7.008 c=7.008 alpha=90.00 beta=90.00 gamma=90.00
Space group F-43m (No. 216)
Unique sites:
Sm: 0.000 0.000 0.000
Cd: 0.250 0.250 0.750
In: 0.000 0.000 0.500
Rh: 0.250 0.250 0.250

Results
The energy relative to the elements is -0.38 eV/atom.

Record 5
A plane-wave DFT calculation with PBE was carried out for an optimized crystal structure of Sm4Cd2InRh.

Unit cell a=5.3116 b=5.3116 c=25.5457 alpha=90.00 beta=90.00 gamma=120.00
Space group R-3m (No. 166, hexagonal axes)
Unique sites:
Sm: 0.0000 0.0000 0.1139
Sm: 0.0000 0.0000 0.3683
Cd: 0.0000 0.0000 0.2411
In: 0.0000 0.0000 0.5000
Rh: 0.0000 0.0000 0.0000

Results
The energy relative to the elements is -0.46 eV/atom.

Record 6
A plane-wave DFT calculation with PBE was carried out for an optimized crystal structure of CdIn2SnRh.

Unit cell a=5.196 b=5.196 c=5.095 alpha=90.00 beta=90.00 gamma=90.00
Space group P4/mmm (No. 123)
Unique sites:
Cd: 0.000 0.000 0.000
In: 0.000 0.500 0.500
Sn: 0.500 0.500 0.000
Rh: 0.500 0.500 0.500

Results
The energy relative to the elements is -0.07 eV/atom.

Number 1: DOS at the Fermi energy 0.42 states/eV per atom. Number 2: DOS at the Fermi energy 0.75 states/eV per atom. Number 3: DOS at the Fermi energy 0.37 states/eV per atom. Number 4: DOS at the Fermi energy 0.80 states/eV per atom. Number 5: DOS at the Fermi energy 0.81 states/eV per atom. Number 6: DOS at the Fermi energy 0.38 states/eV per atom.